Compound: ZnSb3Pd
Source: the Alexandria database
Functional: PBE
Structure: relaxed

Output
Raw formation energy (kcal/mol of atoms): 10.5
DOS(E_F) (states/eV/f.u.): 4.722
Excess energy over the best structure of this formula in the dataset (meV/atom): 0
Total magnetic moment (μB/cell): 0.00

a b c (Å): 5.2519 5.2519 5.2519
angles (deg): 90.00 90.00 90.00
With the nearest neighbours (Å) after each atom.
Space group Pm-3m (No. 221)
One atom of each set of equivalent atoms:
Zn  0.0000  0.0000  0.0000 x1  12 Sb 3.71
Sb  0.0000  0.5000  0.5000 x3  2 Pd 2.63
Pd  0.5000  0.5000  0.5000 x1  6 Sb 2.63

***

Compound: KBa2IO6
Source: the Alexandria database
Functional: PBE
Structure: relaxed

Output
Raw formation energy (kcal/mol of atoms): -39.5
DOS(E_F) (states/eV/f.u.): 0.000
Total magnetic moment (μB/cell): 0.00

a b c (Å): 8.7459 8.7459 8.7459
angles (deg): 90.00 90.00 90.00
With the nearest neighbours (Å) after each atom.
Space group Fm-3m (No. 225)
One atom of each set of equivalent atoms:
K  0.0000  0.0000  0.0000 x4  6 O 2.47
Ba  0.2500  0.2500  0.2500 x8  12 O 3.11
I  0.0000  0.0000  0.5000 x4  6 O 1.90
O  0.0000  0.0000  0.2824 x24  1 I 1.90

***

Compound: Dy2Sb
Source: the Alexandria database
Functional: PBE
Structure: relaxed

Output
Raw formation energy (kcal/mol of atoms): -16.1
DOS(E_F) (states/eV/f.u.): 3.200
Total magnetic moment (μB/cell): 0.00

a b c (Å): 4.2176 17.0060 9.7494
angles (deg): 90.00 90.00 90.00
With the nearest neighbours (Å) after each atom.
Space group Cmc2_1 (No. 36)
One atom of each set of equivalent atoms:
Dy  0.0000  0.0294  0.0000 x4  5 Sb 3.29-3.32, 3 Dy 3.46-3.61
Dy  0.0000  0.1553  0.3522 x4  4 Sb 3.11-3.15, 4 Dy 3.37-3.47
Dy  0.0000  0.3065  0.5908 x4  4 Sb 3.05-3.21, 2 Dy 3.37
Dy  0.0000  0.3606  0.1655 x4  3 Sb 3.06-3.10
Sb  0.0000  0.2070  0.8665 x4  8 Dy 3.05-3.29
Sb  0.0000  0.4681  0.7601 x4  8 Dy 3.06-3.32

***

Compound: ScTa2Zn2
Source: the Alexandria database
Functional: PBE
Structure: relaxed

Output
DOS(E_F) (states/eV/f.u.): 4.879
Excess energy over the best structure of this formula in the dataset (meV/atom): 0
Total magnetic moment (μB/cell): 0.00
ΔH_f (0 K) (eV per atom): 0.097

a b c (Å): 3.9433 3.9433 12.0306
angles (deg): 90.00 90.00 90.00
With the nearest neighbours (Å) after each atom.
Space group I4/mmm (No. 139)
One atom of each set of equivalent atoms:
Sc  0.0000  0.0000  0.0000 x2  8 Zn 3.02
Ta  0.0000  0.5000  0.2500 x4  4 Zn 2.70, 4 Ta 2.79
Zn  0.0000  0.0000  0.4032 x4  1 Zn 2.33

***

Compound: Tl2CdP
Source: the Alexandria database
Functional: PBE
Structure: relaxed

Output
DOS(E_F) (states/eV/f.u.): 1.717
Excess energy over the best structure of this formula in the dataset (meV/atom): 101
Total magnetic moment (μB/cell): 0.00
ΔH_f (0 K) (eV per atom): 0.181

a b c (Å): 3.3019 4.2403 7.7299
angles (deg): 90.00 101.78 90.00
With the nearest neighbours (Å) after each atom.
Space group Pm (No. 6)
One atom of each set of equivalent atoms:
Tl  0.0000  0.0000  0.0000 x1  4 Cd 3.25-3.26, 4 Tl 3.30-3.63
Tl  0.3274  0.5000  0.6728 x1  4 P 3.15-3.18, 2 Tl 3.30
Cd  0.6182  0.5000  0.2433 x1  2 P 2.64
P  0.7132  0.0000  0.4509 x1  2 Cd 2.64

***

Compound: SeN
Source: the Alexandria database
Functional: PBE
Structure: relaxed

Output
Raw formation energy (kcal/mol of atoms): 40.0
DOS(E_F) (states/eV/f.u.): 1.986
Total magnetic moment (μB/cell): 0.00

a b c (Å): 6.2214 6.2214 6.2214
angles (deg): 90.00 90.00 90.00
With the nearest neighbours (Å) after each atom.
Space group Pm-3n (No. 223)
One atom of each set of equivalent atoms:
Se  0.0000  0.2500  0.5000 x6  4 N 2.20
N  0.0000  0.5000  0.2500 x6  4 Se 2.20

***

Compound: Pr2DyHg
Source: the Alexandria database
Functional: PBE
Structure: relaxed

Output
DOS(E_F) (states/eV/f.u.): 5.086
Excess energy over the best structure of this formula in the dataset (meV/atom): 102
Total magnetic moment (μB/cell): 0.00
ΔH_f (0 K) (eV per atom): -0.130

a b c (Å): 3.7250 3.7250 32.5576
angles (deg): 90.00 90.00 120.00
With the nearest neighbours (Å) after each atom.
Space group R3m (No. 160, hexagonal axes)
One atom of each set of equivalent atoms:
Pr  0.0000  0.0000  0.0000 x3  3 Hg 3.32, 3 Dy 3.62
Pr  0.0000  0.0000  0.1780 x3  3 Hg 3.32, 3 Dy 3.60
Dy  0.0000  0.0000  0.7560 x3  6 Pr 3.60-3.62, 6 Dy 3.72
Hg  0.0000  0.0000  0.5888 x3  6 Pr 3.32

***

Compound: PrNd5Tm3
Source: the Alexandria database
Functional: PBE
Structure: relaxed

Output
DOS(E_F) (states/eV/f.u.): 14.037
Excess energy over the best structure of this formula in the dataset (meV/atom): 8
Total magnetic moment (μB/cell): 0.00
ΔH_f (0 K) (eV per atom): 0.297

a b c (Å): 9.1874 9.1874 14.7119
angles (deg): 90.00 90.00 90.00
With the nearest neighbours (Å) after each atom.
Space group I4/mcm (No. 140)
One atom of each set of equivalent atoms:
Pr  0.0000  0.5000  0.2500 x4  4 Nd 3.12
Nd  0.0000  0.0000  0.0000 x4  6 Tm 3.68-3.71, 8 Nd 3.84
Nd  0.1994  0.3006  0.1318 x16  1 Pr 3.12, 1 Tm 3.13
Tm  0.0000  0.0000  0.2500 x4  10 Nd 3.68-3.74
Tm  0.1117  0.3883  0.5000 x8  1 Tm 2.90, 2 Nd 3.13

***

Compound: Rb3Tl7Pd2
Source: the Alexandria database
Functional: PBE
Structure: relaxed

Output
DOS(E_F) (states/eV/f.u.): 6.759
Total magnetic moment (μB/cell): 0.00
ΔH_f (0 K) (eV per atom): -0.070

a b c (Å): 5.4880 27.0271 5.5105
angles (deg): 90.00 90.00 90.00
With the nearest neighbours (Å) after each atom.
Space group Cmmm (No. 65)
One atom of each set of equivalent atoms:
Rb  0.0000  0.0000  0.0000 x2  12 Tl 3.83-3.89
Rb  0.0000  0.1914  0.0000 x4  10 Tl 3.72-3.92
Tl  0.0000  0.0990  0.5000 x4  2 Pd 2.75
Tl  0.0000  0.2900  0.5000 x4  1 Pd 2.82
Tl  0.0000  0.4013  0.0000 x4  2 Pd 2.76
Tl  0.0000  0.5000  0.5000 x2  2 Pd 2.86
Pd  0.0000  0.3943  0.5000 x4  6 Tl 2.75-2.86

***

Compound: Tb4Er5Cd2
Source: the Alexandria database
Functional: PBE
Structure: relaxed

Output
DOS(E_F) (states/eV/f.u.): 15.966
Total magnetic moment (μB/cell): 0.00
ΔH_f (0 K) (eV per atom): 0.016

a b c (Å): 8.5200 3.4565 11.1397
angles (deg): 90.00 93.45 90.00
With the nearest neighbours (Å) after each atom.
Space group P2/m (No. 10)
One atom of each set of equivalent atoms:
Tb  0.1454  0.0000  0.3835 x2  2 Cd 3.34, 3 Tb 3.46-3.69, 8 Er 3.46-3.66
Tb  0.2778  0.0000  0.9511 x2  4 Cd 3.34-3.40, 2 Tb 3.46, 6 Er 3.50-3.63
Er  0.2037  0.5000  0.6671 x2  4 Er 3.23-3.46, 1 Cd 3.23, 4 Tb 3.46-3.61
Er  0.4297  0.5000  0.2056 x2  1 Cd 3.25, 4 Er 3.30-3.46, 4 Tb 3.50-3.57
Er  0.5000  0.5000  0.5000 x1  6 Er 3.23-3.46
Cd  0.0546  0.5000  0.1325 x2  1 Cd 3.04, 2 Er 3.23-3.25, 6 Tb 3.34-3.40

***

Compound: AcMnV2
Source: the Alexandria database
Functional: PBE
Structure: relaxed

Output
DOS(E_F) (states/eV/f.u.): 5.174
Total magnetic moment (μB/cell): 0.01
ΔH_f (0 K) (eV per atom): 0.844

a b c (Å): 3.6624 3.6624 23.8319
angles (deg): 90.00 90.00 120.00
With the nearest neighbours (Å) after each atom.
Space group R-3m (No. 166, hexagonal axes)
One atom of each set of equivalent atoms:
Ac  0.0000  0.0000  0.0000 x3  2 V 3.09
Mn  0.0000  0.0000  0.5000 x3  6 V 2.29
V  0.0000  0.0000  0.1298 x6  3 Mn 2.29

***

Compound: La5Sm2Ho6
Source: the Alexandria database
Functional: PBE
Structure: relaxed

Output
DOS(E_F) (states/eV/f.u.): 16.724
Total magnetic moment (μB/cell): 0.00
ΔH_f (0 K) (eV per atom): 0.094

a b c (Å): 11.7475 20.7931 3.6346
angles (deg): 90.00 90.00 90.00
With the nearest neighbours (Å) after each atom.
Space group Pbam (No. 55)
One atom of each set of equivalent atoms:
La  0.0000  0.0000  0.0000 x2  6 Ho 3.41-3.55, 4 La 3.63-3.65
La  0.0768  0.2728  0.0000 x4  5 Ho 3.42-3.55, 4 Sm 3.49-3.66, 2 La 3.63
La  0.2010  0.5475  0.0000 x4  6 Ho 3.62-3.64, 3 La 3.63-3.65, 2 Sm 3.87
Sm  0.1758  0.7114  0.5000 x4  3 Ho 3.34-3.63, 4 La 3.49-3.66, 2 Sm 3.63
Ho  0.0610  0.4193  0.5000 x4  6 La 3.55-3.64, 5 Ho 3.63-3.75, 1 Sm 3.89
Ho  0.0777  0.1314  0.5000 x4  1 Sm 3.34, 6 La 3.41-3.62, 4 Ho 3.52-3.63
Ho  0.1789  0.8625  0.0000 x4  2 La 3.42-3.55, 6 Ho 3.52-3.75, 2 Sm 3.63

***

Compound: AcPr2Zn2Sn2
Source: the Alexandria database
Functional: PBE
Structure: relaxed

Output
DOS(E_F) (states/eV/f.u.): 7.462
Total magnetic moment (μB/cell): 0.00
ΔH_f (0 K) (eV per atom): -0.394

a b c (Å): 4.7202 4.7202 30.8160
angles (deg): 90.00 90.00 120.00
With the nearest neighbours (Å) after each atom.
Space group R-3m (No. 166, hexagonal axes)
One atom of each set of equivalent atoms:
Ac  0.0000  0.0000  0.0000 x3  6 Sn 3.49, 6 Zn 3.80
Pr  0.0000  0.0000  0.1330 x6  3 Zn 3.08, 3 Sn 3.34, 3 Pr 3.43
Zn  0.0000  0.0000  0.4195 x6  3 Sn 2.77, 3 Pr 3.08
Sn  0.0000  0.0000  0.2628 x6  3 Zn 2.77

***

Compound: Mg2ReBiS
Source: the Alexandria database
Functional: PBE
Structure: relaxed

Output
Raw formation energy (kcal/mol of atoms): 6.2
DOS(E_F) (states/eV/f.u.): 2.687
Total magnetic moment (μB/cell): 0.00

a b c (Å): 4.9021 4.9021 4.4293
angles (deg): 90.00 90.00 90.00
With the nearest neighbours (Å) after each atom.
Space group P4/mmm (No. 123)
One atom of each set of equivalent atoms:
Mg  0.0000  0.5000  0.0000 x2  2 S 2.45
Re  0.0000  0.0000  0.5000 x1  2 S 2.21
Bi  0.5000  0.5000  0.5000 x1  8 Mg 3.30, 4 Re 3.47
S  0.0000  0.0000  0.0000 x1  2 Re 2.21, 4 Mg 2.45

***

Compound: MoI3
Source: the Alexandria database
Functional: PBE
Structure: relaxed

Output
Raw formation energy (kcal/mol of atoms): 21.7
DOS(E_F) (states/eV/f.u.): 2.287
Total magnetic moment (μB/cell): 12.00

a b c (Å): 7.8305 7.8305 7.8305
angles (deg): 90.00 90.00 90.00
With the nearest neighbours (Å) after each atom.
Space group Fm-3m (No. 225)
One atom of each set of equivalent atoms:
Mo  0.0000  0.0000  0.0000 x4  8 I 3.39
I  0.0000  0.0000  0.5000 x4  8 I 3.39
I  0.2500  0.2500  0.2500 x8  4 Mo 3.39, 4 I 3.39

***

Compound: ScTaFeCu
Source: the Alexandria database
Functional: PBE
Structure: relaxed

Output
DOS(E_F) (states/eV/f.u.): 3.466
Total magnetic moment (μB/cell): 0.57
ΔH_f (0 K) (eV per atom): -0.042

a b c (Å): 6.2502 6.2502 6.2502
angles (deg): 90.00 90.00 90.00
With the nearest neighbours (Å) after each atom.
Space group F-43m (No. 216)
One atom of each set of equivalent atoms:
Sc  0.0000  0.0000  0.0000 x4  4 Fe 2.71, 4 Cu 2.71
Ta  0.0000  0.0000  0.5000 x4  4 Fe 2.71, 4 Cu 2.71
Fe  0.2500  0.2500  0.2500 x4  4 Ta 2.71, 4 Sc 2.71
Cu  0.2500  0.2500  0.7500 x4  4 Ta 2.71, 4 Sc 2.71

***

Compound: PmYBe2Ir2
Source: the Alexandria database
Functional: PBE
Structure: relaxed

Output
DOS(E_F) (states/eV/f.u.): 3.925
Total magnetic moment (μB/cell): 0.00
ΔH_f (0 K) (eV per atom): -0.628

a b c (Å): 3.9535 3.9535 8.1000
angles (deg): 90.00 90.00 120.00
With the nearest neighbours (Å) after each atom.
Space group P-3m1 (No. 164)
One atom of each set of equivalent atoms:
Pm  0.0000  0.0000  0.0000 x1  6 Ir 3.08, 6 Be 3.10
Y  0.0000  0.0000  0.5000 x1  6 Be 3.00, 6 Ir 3.02
Be  0.3333  0.6667  0.2588 x2  3 Ir 2.28
Ir  0.3333  0.6667  0.7448 x2  3 Be 2.28

***

Compound: Sn6HgAu3
Source: the Alexandria database
Functional: PBE
Structure: relaxed

Output
DOS(E_F) (states/eV/f.u.): 4.006
Total magnetic moment (μB/cell): 0.00
ΔH_f (0 K) (eV per atom): -0.057

a b c (Å): 9.4809 4.4070 12.5687
angles (deg): 90.00 90.18 90.00
With the nearest neighbours (Å) after each atom.
Space group P2_1/m (No. 11)
One atom of each set of equivalent atoms:
Sn  0.0266  0.2500  0.1050 x2  3 Au 2.81-2.82, 1 Sn 3.03
Sn  0.1378  0.2500  0.3314 x2  3 Au 2.79-2.91, 1 Sn 3.03
Sn  0.1937  0.2500  0.6225 x2  3 Au 2.84-3.16, 2 Hg 3.12
Sn  0.3640  0.2500  0.9775 x2  2 Au 2.86, 1 Sn 3.00
Sn  0.3796  0.7500  0.4766 x2  4 Au 2.80-2.93
Sn  0.4178  0.7500  0.1950 x2  3 Au 2.81-2.83, 1 Sn 3.00
Hg  0.2766  0.7500  0.7874 x2  2 Au 3.04-3.33, 5 Sn 3.12-3.35
Au  0.0845  0.7500  0.4615 x2  4 Sn 2.79-2.84, 2 Au 2.89
Au  0.1943  0.7500  0.0451 x2  6 Sn 2.81-2.86
Au  0.4444  0.2500  0.3317 x2  6 Sn 2.81-2.93, 1 Hg 3.04

***

Compound: Tb2Al4RhAu3
Source: the Alexandria database
Functional: PBE
Structure: relaxed

Output
DOS(E_F) (states/eV/f.u.): 5.885
Total magnetic moment (μB/cell): 0.00
ΔH_f (0 K) (eV per atom): -0.757

a b c (Å): 4.2510 4.2510 10.7019
angles (deg): 90.00 90.00 90.00
With the nearest neighbours (Å) after each atom.
Space group P-4m2 (No. 115)
One atom of each set of equivalent atoms:
Tb  0.0000  0.5000  0.2449 x2  6 Au 3.25-3.37, 8 Al 3.26-3.46, 2 Rh 3.37
Al  0.0000  0.0000  0.5000 x1  4 Au 2.60
Al  0.0000  0.5000  0.8736 x2  3 Au 2.50-2.52, 2 Rh 2.52
Al  0.5000  0.5000  0.5000 x1  4 Au 2.60
Rh  0.5000  0.5000  0.0000 x1  4 Al 2.52
Au  0.0000  0.0000  0.0000 x1  4 Al 2.52
Au  0.0000  0.5000  0.6397 x2  5 Al 2.50-2.60

***

Compound: La2Fe12P7
Source: the Alexandria database
Functional: PBE
Structure: relaxed

Output
DOS(E_F) (states/eV/f.u.): 21.595
Total magnetic moment (μB/cell): 1.17
ΔH_f (0 K) (eV per atom): -0.637

a b c (Å): 9.0867 9.0867 3.7059
angles (deg): 90.00 90.00 120.00
With the nearest neighbours (Å) after each atom.
Space group P-6 (No. 174)
One atom of each set of equivalent atoms:
La  0.0000  0.0000  0.0000 x1  6 P 2.91, 9 Fe 3.02-3.12
La  0.3333  0.6667  0.5000 x1  6 P 2.96, 12 Fe 3.03-3.21
Fe  0.0345  0.7570  0.5000 x3  4 P 2.29-2.32, 1 Fe 2.44
Fe  0.0972  0.3819  0.0000 x3  4 P 2.26-2.37
Fe  0.4549  0.2367  0.0000 x3  3 P 2.26-2.49
Fe  0.5159  0.0622  0.5000 x3  4 P 2.14-2.31
P  0.0600  0.6226  0.0000 x3  7 Fe 2.26-2.37
P  0.2617  0.0319  0.5000 x3  5 Fe 2.19-2.32
P  0.6667  0.3333  0.5000 x1  3 Fe 2.14

***

Compound: Zn2IrRu
Source: the Alexandria database
Functional: PBE
Structure: relaxed

Output
DOS(E_F) (states/eV/f.u.): 3.468
Excess energy over the best structure of this formula in the dataset (meV/atom): 36
Total magnetic moment (μB/cell): 0.00
ΔH_f (0 K) (eV per atom): -0.028

a b c (Å): 2.7795 2.7795 25.4633
angles (deg): 90.00 90.00 120.00
With the nearest neighbours (Å) after each atom.
Space group R-3m (No. 166, hexagonal axes)
One atom of each set of equivalent atoms:
Zn  0.0000  0.0000  0.2499 x6  3 Ru 2.66, 3 Ir 2.66, 6 Zn 2.78
Ir  0.0000  0.0000  0.0000 x3  6 Zn 2.66, 6 Ir 2.78
Ru  0.0000  0.0000  0.5000 x3  6 Zn 2.66, 6 Ru 2.78

***

Compound: NpMnVP2
Source: the Alexandria database
Functional: PBE
Structure: relaxed

Output
DOS(E_F) (states/eV/f.u.): 9.197
Total magnetic moment (μB/cell): 10.34
ΔH_f (0 K) (eV per atom): -0.666

a b c (Å): 3.6816 3.6816 11.2652
angles (deg): 90.00 90.00 90.00
With the nearest neighbours (Å) after each atom.
Space group I-4m2 (No. 119)
One atom of each set of equivalent atoms:
Np  0.0000  0.0000  0.0000 x2  8 P 2.93
Mn  0.0000  0.5000  0.7500 x2  4 P 2.35, 4 V 2.60
V  0.0000  0.5000  0.2500 x2  4 P 2.35, 4 Mn 2.60
P  0.0000  0.0000  0.3799 x4  2 Mn 2.35, 2 V 2.35

***

Compound: Ba2ScIn
Source: the Alexandria database
Functional: PBE
Structure: relaxed

Output
DOS(E_F) (states/eV/f.u.): 3.977
Total magnetic moment (μB/cell): 0.00
ΔH_f (0 K) (eV per atom): -0.027

a b c (Å): 4.1431 5.2942 7.6778
angles (deg): 90.00 105.65 90.00
With the nearest neighbours (Å) after each atom.
Space group Pm (No. 6)
One atom of each set of equivalent atoms:
Ba  0.0000  0.0000  0.0000 x1  2 Sc 3.66-3.67, 4 In 3.71-3.72
Ba  0.3146  0.5000  0.6272 x1  2 In 3.69-3.70, 4 Sc 3.73
Sc  0.7062  0.0000  0.4093 x1  2 In 3.02
In  0.6058  0.5000  0.2135 x1  2 Sc 3.02